(1)
# GGA-PBE UGa2Rh, optimized geometry
# E_form (eV per atom): -0.2678
# Theoretical density (kg/m³): 10557
data_UGa2Rh
_space_group_name_H-M_alt 'R -3 m'
_space_group_IT_number 166
_space_group_name_Hall '-R 3 2"'
_cell_length_a 4.2576
_cell_length_b 4.2576
_cell_length_c 14.4390
_cell_angle_alpha 90.00
_cell_angle_beta 90.00
_cell_angle_gamma 120.00
loop_
_atom_site_label
_atom_site_type_symbol
_atom_site_fract_x
_atom_site_fract_y
_atom_site_fract_z
U1 U 0.0000 0.0000 0.0000
Ga1 Ga 0.0000 0.0000 0.2192
Rh1 Rh 0.0000 0.0000 0.5000



(2)
# GGA-PBE UGaRh2, optimized geometry
# E_form (eV per atom): -0.5308
# Theoretical density (kg/m³): 13014
data_UGaRh2
_space_group_name_H-M_alt 'P 4/m m m'
_space_group_IT_number 123
_space_group_name_Hall '-P 4 2'
_cell_length_a 3.049
_cell_length_b 3.049
_cell_length_c 7.048
_cell_angle_alpha 90.00
_cell_angle_beta 90.00
_cell_angle_gamma 90.00
loop_
_atom_site_label
_atom_site_type_symbol
_atom_site_fract_x
_atom_site_fract_y
_atom_site_fract_z
U1 U 0.000 0.000 0.000
Ga1 Ga 0.000 0.000 0.500
Rh1 Rh 0.500 0.500 0.282